Entry 1:
DFT (SCAN) results for a crystal of ZnNiIr relaxed with PBEsol.

M_tot = 0.54 Bohr magnetons per cell
Total energy = -2.4336 Ry/atom
Energy above the most stable polymorph in this dataset = 0.578 eV/atom

Lattice parameters (Å, degrees): 5.5687 5.5687 5.5687 90.00 90.00 90.00
Last column: nearest neighbours and their distance in Å.
Space group F-43m (No. 216)
Inequivalent atoms, fractional coordinates:
1 Zn 0.0000 0.0000 0.0000  4 Ni 2.41, 4 Ir 2.41
2 Ni 0.2500 0.2500 0.2500  4 Zn 2.41
3 Ir 0.2500 0.2500 0.7500  4 Zn 2.41

---

Entry 2:
DFT (SCAN) results for a crystal of Mg2Al2Zn relaxed with PBEsol.

M_tot = 0.00 Bohr magnetons per cell
Total energy = -0.5717 Ry/atom

Lattice parameters (Å, degrees): 6.5635 6.5635 4.4433 90.00 90.00 90.00
Last column: nearest neighbours and their distance in Å.
Space group P4/mbm (No. 127)
Inequivalent atoms, fractional coordinates:
1 Mg 0.1658 0.3342 0.0000  6 Al 2.86-3.00, 1 Mg 3.08
2 Al 0.1400 0.6400 0.5000  2 Zn 2.54, 1 Al 2.60
3 Zn 0.0000 0.0000 0.5000  4 Al 2.54

---

Entry 3:
DFT (SCAN) results for a crystal of Sc2TlPb relaxed with PBEsol.

M_tot = 2.20 Bohr magnetons per cell
Total energy = -3.2815 Ry/atom
Energy above the most stable polymorph in this dataset = 0.028 eV/atom

Lattice parameters (Å, degrees): 6.5854 8.4044 3.2933 90.00 90.00 90.00
Last column: nearest neighbours and their distance in Å.
Space group Cmmm (No. 65)
Inequivalent atoms, fractional coordinates:
1 Sc 0.2500 0.2500 0.0000  4 Tl 3.14, 4 Pb 3.14, 4 Sc 3.29
2 Tl 0.0000 0.0000 0.5000  8 Sc 3.14, 2 Pb 3.29, 2 Tl 3.29
3 Pb 0.0000 0.5000 0.5000  8 Sc 3.14, 2 Tl 3.29, 2 Pb 3.29

---

Entry 4:
DFT (SCAN) results for a crystal of LiMgAg2 relaxed with PBEsol.

M_tot = 0.00 Bohr magnetons per cell
Total energy = -1.3046 Ry/atom

Lattice parameters (Å, degrees): 3.1945 3.1945 6.4083 90.00 90.00 90.00
Last column: nearest neighbours and their distance in Å.
Space group P4/mmm (No. 123)
Inequivalent atoms, fractional coordinates:
1 Li 0.0000 0.0000 0.0000  8 Ag 2.71
2 Mg 0.0000 0.0000 0.5000  8 Ag 2.84
3 Ag 0.5000 0.5000 0.2325  4 Li 2.71, 4 Mg 2.84, 1 Ag 2.98